1.
A relaxed structure of TmScSn, computed with PBE-GGA.

Unit cell a=8.1456 b=8.1456 c=8.1456 alpha=35.46 beta=35.46 gamma=35.46
Closest atoms and distances in Å follow each position.
Sites, in units of the cell vectors:
Sc: 0.2864 0.2864 0.2864  4 Sn 2.99-3.01
Sc: 0.7136 0.7136 0.7136  4 Sn 2.99-3.01
Sn: 0.4182 0.4182 0.4182  4 Sc 2.99-3.01, 3 Tm 3.08
Sn: 0.5818 0.5818 0.5818  4 Sc 2.99-3.01, 3 Tm 3.08
Tm: 0.1339 0.1339 0.1339  3 Sn 3.08, 3 Tm 3.23
Tm: 0.8661 0.8661 0.8661  3 Sn 3.08, 3 Tm 3.23

spin magnetization = 0.0 Bohr magnetons per cell
V = 27.095 A^3/atom
energy = -5.28 eV per atom
SG = R-3m (166)

=====

2.
A relaxed structure of TmScSn, computed with PBE-GGA.

Unit cell a=5.0389 b=5.0389 c=5.0389 alpha=60.00 beta=60.00 gamma=60.00
Closest atoms and distances in Å follow each position.
Sites, in units of the cell vectors:
Sc: 0.2500 0.2500 0.2500  4 Tm 3.09
Sn: 0.7500 0.7500 0.7500  4 Tm 3.09
Tm: 0.0000 0.0000 0.0000  4 Sn 3.09, 4 Sc 3.09

spin magnetization = 0.2 Bohr magnetons per cell
V = 30.156 A^3/atom
energy = -4.71 eV per atom
SG = F-43m (216)

=====

3.
A relaxed structure of TmScSn, computed with PBE-GGA.

Unit cell a=4.9510 b=4.9510 c=4.9510 alpha=60.00 beta=60.00 gamma=60.00
Closest atoms and distances in Å follow each position.
Sites, in units of the cell vectors:
Sc: 0.5000 0.5000 0.5000  4 Sn 3.03
Sn: 0.2500 0.2500 0.2500  4 Sc 3.03, 4 Tm 3.03
Tm: 0.0000 0.0000 0.0000  4 Sn 3.03

spin magnetization = 0.0 Bohr magnetons per cell
V = 28.605 A^3/atom
energy = -5.27 eV per atom
SG = F-43m (216)

=====

4.
A relaxed structure of ScSnW2, computed with PBE-GGA.

Unit cell a=4.6669 b=4.6669 c=4.6669 alpha=60.00 beta=60.00 gamma=60.00
Closest atoms and distances in Å follow each position.
Sites, in units of the cell vectors:
Sc: 0.2500 0.2500 0.2500  4 Sn 2.86, 4 W 2.86
Sn: 0.5000 0.5000 0.5000  4 W 2.86, 4 Sc 2.86
W: 0.0000 0.0000 0.0000  4 W 2.86, 4 Sc 2.86
W: 0.7500 0.7500 0.7500  4 Sn 2.86, 4 W 2.86

spin magnetization = 0.0 Bohr magnetons per cell
V = 17.968 A^3/atom
energy = -8.91 eV per atom
SG = F-43m (216)

=====

5.
A relaxed structure of Sc2SnW, computed with PBE-GGA.

Unit cell a=4.8235 b=4.8235 c=4.8235 alpha=60.00 beta=60.00 gamma=60.00
Closest atoms and distances in Å follow each position.
Sites, in units of the cell vectors:
Sc: 0.0000 0.0000 0.0000  4 Sc 2.95, 4 W 2.95
Sc: 0.7500 0.7500 0.7500  4 Sn 2.95, 4 Sc 2.95
Sn: 0.5000 0.5000 0.5000  4 Sc 2.95, 4 W 2.95
W: 0.2500 0.2500 0.2500  4 Sn 2.95, 4 Sc 2.95

spin magnetization = 1.9 Bohr magnetons per cell
V = 19.839 A^3/atom
energy = -7.34 eV per atom
SG = F-43m (216)

=====

6.
A relaxed structure of YScZn2Sn2, computed with PBE-GGA.

Unit cell a=4.4475 b=4.4475 c=15.4257 alpha=90.00 beta=90.00 gamma=120.00
Closest atoms and distances in Å follow each position.
Sites, in units of the cell vectors:
Sc: 0.0000 0.0000 0.2500  6 Zn 2.89
Sc: 0.0000 0.0000 0.7500  6 Zn 2.89
Sn: 0.3333 0.6667 0.1172  3 Zn 2.67
Sn: 0.3333 0.6667 0.3828  3 Zn 2.67
Sn: 0.6667 0.3333 0.6172  3 Zn 2.67
Sn: 0.6667 0.3333 0.8828  3 Zn 2.67
Y: 0.0000 0.0000 0.0000  6 Sn 3.14
Y: 0.0000 0.0000 0.5000  6 Sn 3.14
Zn: 0.6667 0.3333 0.1643  1 Zn 2.64, 3 Sn 2.67, 3 Sc 2.89
Zn: 0.6667 0.3333 0.3357  1 Zn 2.64, 3 Sn 2.67, 3 Sc 2.89
Zn: 0.3333 0.6667 0.6643  1 Zn 2.64, 3 Sn 2.67, 3 Sc 2.89
Zn: 0.3333 0.6667 0.8357  1 Zn 2.64, 3 Sn 2.67, 3 Sc 2.89

ΔE to the lowest computed polymorph = 0 meV/atom
spin magnetization = 0.0 Bohr magnetons per cell
V = 22.021 A^3/atom
energy = -4.42 eV per atom
SG = P6_3/mmc (194)

=====

7.
A relaxed structure of YScZn2Sn2, computed with PBE-GGA.

Unit cell a=4.4938 b=4.4938 c=15.0226 alpha=90.00 beta=90.00 gamma=120.00
Closest atoms and distances in Å follow each position.
Sites, in units of the cell vectors:
Sc: 0.0000 0.0000 0.0000  6 Sn 3.04
Sc: 0.0000 0.0000 0.5000  6 Sn 3.04
Sn: 0.3333 0.6667 0.1055  3 Zn 2.70
Sn: 0.3333 0.6667 0.3945  3 Zn 2.70
Sn: 0.6667 0.3333 0.6055  3 Zn 2.70
Sn: 0.6667 0.3333 0.8945  3 Zn 2.70
Y: 0.0000 0.0000 0.2500  6 Zn 2.96
Y: 0.0000 0.0000 0.7500  6 Zn 2.96
Zn: 0.6667 0.3333 0.1551  3 Sn 2.70, 1 Zn 2.85, 3 Y 2.96
Zn: 0.6667 0.3333 0.3449  3 Sn 2.70, 1 Zn 2.85, 3 Y 2.96
Zn: 0.3333 0.6667 0.6551  3 Sn 2.70, 1 Zn 2.85, 3 Y 2.96
Zn: 0.3333 0.6667 0.8449  3 Sn 2.70, 1 Zn 2.85, 3 Y 2.96

ΔE to the lowest computed polymorph = 19 meV/atom
spin magnetization = 0.0 Bohr magnetons per cell
V = 21.894 A^3/atom
energy = -4.41 eV per atom
SG = P6_3/mmc (194)

=====

8.
A relaxed structure of Sc2ZnSn, computed with PBE-GGA.

Unit cell a=4.9514 b=4.9514 c=4.9514 alpha=60.00 beta=60.00 gamma=60.00
Closest atoms and distances in Å follow each position.
Sites, in units of the cell vectors:
Sc: 0.0000 0.0000 0.0000  4 Sc 3.03, 4 Zn 3.03
Sc: 0.7500 0.7500 0.7500  4 Sc 3.03, 4 Sn 3.03
Sn: 0.5000 0.5000 0.5000  4 Zn 3.03, 4 Sc 3.03
Zn: 0.2500 0.2500 0.2500  4 Sn 3.03, 4 Sc 3.03

spin magnetization = 0.9 Bohr magnetons per cell
V = 21.459 A^3/atom
energy = -4.49 eV per atom
SG = F-43m (216)

=====

9.
A relaxed structure of ScZnSn, computed with PBE-GGA.

Unit cell a=4.6987 b=4.6987 c=4.6987 alpha=60.00 beta=60.00 gamma=60.00
Closest atoms and distances in Å follow each position.
Sites, in units of the cell vectors:
Sc: 0.0000 0.0000 0.0000  4 Zn 2.88, 4 Sn 2.88
Sn: 0.2500 0.2500 0.2500  4 Sc 2.88
Zn: 0.7500 0.7500 0.7500  4 Sc 2.88

spin magnetization = 0.0 Bohr magnetons per cell
V = 24.452 A^3/atom
energy = -3.96 eV per atom
SG = F-43m (216)

=====

10.
A relaxed structure of Sc2ZnSn2, computed with PBE-GGA.

Unit cell a=5.1806 b=5.1806 c=6.5205 alpha=113.41 beta=113.41 gamma=90.00
Closest atoms and distances in Å follow each position.
Sites, in units of the cell vectors:
Sc: 0.7500 0.2500 0.5000  4 Sn 2.91
Sc: 0.2500 0.7500 0.5000  4 Sn 2.91
Sn: 0.6279 0.6279 0.2558  1 Sn 2.76, 4 Sc 2.91
Sn: 0.3721 0.3721 0.7442  1 Sn 2.76, 4 Sc 2.91
Zn: 0.0000 0.0000 0.0000  8 Sc 3.74, 10 Sn 3.91-4.01

spin magnetization = 0.0 Bohr magnetons per cell
V = 28.955 A^3/atom
energy = -4.33 eV per atom
SG = I4/mmm (139)

=====

11.
A relaxed structure of ScZnSn, computed with PBE-GGA.

Unit cell a=4.6350 b=4.6350 c=4.6350 alpha=60.00 beta=60.00 gamma=60.00
Closest atoms and distances in Å follow each position.
Sites, in units of the cell vectors:
Sc: 0.2500 0.2500 0.2500  4 Sn 2.84
Sn: 0.0000 0.0000 0.0000  4 Zn 2.84, 4 Sc 2.84
Zn: 0.7500 0.7500 0.7500  4 Sn 2.84

spin magnetization = 0.0 Bohr magnetons per cell
V = 23.470 A^3/atom
energy = -4.00 eV per atom
SG = F-43m (216)

=====

12.
A relaxed structure of ZrScSn, computed with PBE-GGA.

Unit cell a=4.8011 b=4.8011 c=4.8011 alpha=60.00 beta=60.00 gamma=60.00
Closest atoms and distances in Å follow each position.
Sites, in units of the cell vectors:
Sc: 0.2500 0.2500 0.2500  4 Sn 2.94
Sn: 0.0000 0.0000 0.0000  4 Sc 2.94, 4 Zr 2.94
Zr: 0.7500 0.7500 0.7500  4 Sn 2.94

spin magnetization = 0.1 Bohr magnetons per cell
V = 26.085 A^3/atom
energy = -6.46 eV per atom
SG = F-43m (216)